A PBEsol-optimized structure of KMg2Pb, computed with SCAN.

Structure (CIF):
```
data_KMg2Pb
_symmetry_space_group_name_H-M 'P 1 2/m 1'
_symmetry_Int_Tables_number 10
_symmetry_space_group_name_Hall '-P 2y'
_cell_length_a 5.888
_cell_length_b 3.503
_cell_length_c 6.019
_cell_angle_alpha 90.00
_cell_angle_beta 109.96
_cell_angle_gamma 90.00
loop_
_atom_site_label
_atom_site_fract_x
_atom_site_fract_y
_atom_site_fract_z
_atom_site_occupancy
K1 0.000 0.000 0.000 1
Mg1 0.500 0.000 0.500 1
Mg2 0.500 0.500 0.000 1
Pb1 0.000 0.500 0.500 1
```

***

A PBEsol-optimized structure of K2MgPb, computed with SCAN.

Structure (CIF):
```
data_K2MgPb
_symmetry_space_group_name_H-M 'I m m 2'
_symmetry_Int_Tables_number 44
_symmetry_space_group_name_Hall 'I 2 -2'
_cell_length_a 5.112
_cell_length_b 6.189
_cell_length_c 9.228
_cell_angle_alpha 90.00
_cell_angle_beta 90.00
_cell_angle_gamma 90.00
loop_
_atom_site_label
_atom_site_fract_x
_atom_site_fract_y
_atom_site_fract_z
_atom_site_occupancy
K1 0.000 0.000 0.000 1
K2 0.000 0.500 0.208 1
Mg1 0.000 0.000 0.422 1
Pb1 0.000 0.500 0.772 1
```

***

A PBEsol-optimized structure of KMg2Pb, computed with SCAN.

Structure (CIF):
```
data_KMg2Pb
_symmetry_space_group_name_H-M 'R -3 m'
_symmetry_Int_Tables_number 166
_symmetry_space_group_name_Hall '-R 3 2"'
_cell_length_a 3.5027
_cell_length_b 3.5027
_cell_length_c 34.2260
_cell_angle_alpha 90.00
_cell_angle_beta 90.00
_cell_angle_gamma 120.00
loop_
_atom_site_label
_atom_site_fract_x
_atom_site_fract_y
_atom_site_fract_z
_atom_site_occupancy
K1 0.0000 0.0000 0.0000 1
Mg1 0.0000 0.0000 0.2400 1
Pb1 0.0000 0.0000 0.5000 1
```

***

A PBEsol-optimized structure of K2MgPb, computed with SCAN.

Structure (CIF):
```
data_K2MgPb
_symmetry_space_group_name_H-M 'F m -3 m'
_symmetry_Int_Tables_number 225
_symmetry_space_group_name_Hall '-F 4 2 3'
_cell_length_a 8.358
_cell_length_b 8.358
_cell_length_c 8.358
_cell_angle_alpha 90.00
_cell_angle_beta 90.00
_cell_angle_gamma 90.00
loop_
_atom_site_label
_atom_site_fract_x
_atom_site_fract_y
_atom_site_fract_z
_atom_site_occupancy
K1 0.250 0.250 0.250 1
Mg1 0.000 0.000 0.000 1
Pb1 0.000 0.000 0.500 1
```

***

A PBEsol-optimized structure of K2MgPdPt, computed with SCAN.

Structure (CIF):
```
data_K2MgPdPt
_symmetry_space_group_name_H-M 'P 4/m m m'
_symmetry_Int_Tables_number 123
_symmetry_space_group_name_Hall '-P 4 2'
_cell_length_a 6.039
_cell_length_b 6.039
_cell_length_c 4.649
_cell_angle_alpha 90.00
_cell_angle_beta 90.00
_cell_angle_gamma 90.00
loop_
_atom_site_label
_atom_site_fract_x
_atom_site_fract_y
_atom_site_fract_z
_atom_site_occupancy
K1 0.000 0.500 0.000 1
Mg1 0.000 0.000 0.000 1
Pd1 0.000 0.000 0.500 1
Pt1 0.500 0.500 0.500 1
```

***

A PBEsol-optimized structure of KMg2ZrPd, computed with SCAN.

Structure (CIF):
```
data_KMg2ZrPd
_symmetry_space_group_name_H-M 'P 4/m m m'
_symmetry_Int_Tables_number 123
_symmetry_space_group_name_Hall '-P 4 2'
_cell_length_a 4.994
_cell_length_b 4.994
_cell_length_c 5.347
_cell_angle_alpha 90.00
_cell_angle_beta 90.00
_cell_angle_gamma 90.00
loop_
_atom_site_label
_atom_site_fract_x
_atom_site_fract_y
_atom_site_fract_z
_atom_site_occupancy
K1 0.000 0.000 0.000 1
Mg1 0.000 0.500 0.500 1
Zr1 0.500 0.500 0.000 1
Pd1 0.000 0.000 0.500 1
```

***

A PBEsol-optimized structure of KMgPt2, computed with SCAN.

Structure (CIF):
```
data_KMgPt2
_symmetry_space_group_name_H-M 'F -4 3 m'
_symmetry_Int_Tables_number 216
_symmetry_space_group_name_Hall 'F -4 2 3'
_cell_length_a 6.666
_cell_length_b 6.666
_cell_length_c 6.666
_cell_angle_alpha 90.00
_cell_angle_beta 90.00
_cell_angle_gamma 90.00
loop_
_atom_site_label
_atom_site_fract_x
_atom_site_fract_y
_atom_site_fract_z
_atom_site_occupancy
K1 0.000 0.000 0.000 1
Mg1 0.250 0.250 0.750 1
Pt1 0.000 0.000 0.500 1
Pt2 0.250 0.250 0.250 1
```

***

A PBEsol-optimized structure of K2MgPt, computed with SCAN.

Structure (CIF):
```
data_K2MgPt
_symmetry_space_group_name_H-M 'P 4/m m m'
_symmetry_Int_Tables_number 123
_symmetry_space_group_name_Hall '-P 4 2'
_cell_length_a 4.434
_cell_length_b 4.434
_cell_length_c 5.792
_cell_angle_alpha 90.00
_cell_angle_beta 90.00
_cell_angle_gamma 90.00
loop_
_atom_site_label
_atom_site_fract_x
_atom_site_fract_y
_atom_site_fract_z
_atom_site_occupancy
K1 0.000 0.000 0.233 1
Mg1 0.500 0.500 0.500 1
Pt1 0.500 0.500 0.000 1
```

***

A PBEsol-optimized structure of KMgPt, computed with SCAN.

Structure (CIF):
```
data_KMgPt
_symmetry_space_group_name_H-M 'P 3 m 1'
_symmetry_Int_Tables_number 156
_symmetry_space_group_name_Hall 'P 3 -2"'
_cell_length_a 3.1488
_cell_length_b 3.1488
_cell_length_c 7.8187
_cell_angle_alpha 90.00
_cell_angle_beta 90.00
_cell_angle_gamma 120.00
loop_
_atom_site_label
_atom_site_fract_x
_atom_site_fract_y
_atom_site_fract_z
_atom_site_occupancy
K1 0.0000 0.0000 0.0000 1
Mg1 0.3333 0.6667 0.5721 1
Pt1 0.6667 0.3333 0.3261 1
```

***

A PBEsol-optimized structure of KMgPt2, computed with SCAN.

Structure (CIF):
```
data_KMgPt2
_symmetry_space_group_name_H-M 'P 4 m m'
_symmetry_Int_Tables_number 99
_symmetry_space_group_name_Hall 'P 4 -2'
_cell_length_a 2.937
_cell_length_b 2.937
_cell_length_c 9.562
_cell_angle_alpha 90.00
_cell_angle_beta 90.00
_cell_angle_gamma 90.00
loop_
_atom_site_label
_atom_site_fract_x
_atom_site_fract_y
_atom_site_fract_z
_atom_site_occupancy
K1 0.000 0.000 0.000 1
Mg1 0.500 0.500 0.377 1
Pt1 0.000 0.000 0.552 1
Pt2 0.500 0.500 0.747 1
```

***

A PBEsol-optimized structure of KMgPt2W, computed with SCAN.

Structure (CIF):
```
data_KMgPt2W
_symmetry_space_group_name_H-M 'P 4/m m m'
_symmetry_Int_Tables_number 123
_symmetry_space_group_name_Hall '-P 4 2'
_cell_length_a 4.884
_cell_length_b 4.884
_cell_length_c 4.558
_cell_angle_alpha 90.00
_cell_angle_beta 90.00
_cell_angle_gamma 90.00
loop_
_atom_site_label
_atom_site_fract_x
_atom_site_fract_y
_atom_site_fract_z
_atom_site_occupancy
K1 0.000 0.000 0.000 1
Mg1 0.500 0.500 0.500 1
Pt1 0.000 0.500 0.000 1
W1 0.000 0.000 0.500 1
```

***

A PBEsol-optimized structure of KRb2MgTc, computed with SCAN.

Structure (CIF):
```
data_KRb2MgTc
_symmetry_space_group_name_H-M 'P 4/m m m'
_symmetry_Int_Tables_number 123
_symmetry_space_group_name_Hall '-P 4 2'
_cell_length_a 6.990
_cell_length_b 6.990
_cell_length_c 5.209
_cell_angle_alpha 90.00
_cell_angle_beta 90.00
_cell_angle_gamma 90.00
loop_
_atom_site_label
_atom_site_fract_x
_atom_site_fract_y
_atom_site_fract_z
_atom_site_occupancy
K1 0.000 0.000 0.000 1
Rb1 0.000 0.500 0.500 1
Mg1 0.500 0.500 0.500 1
Tc1 0.500 0.500 0.000 1
```

***

# KMg2Re, PBEsol geometry, DFT SCAN
# - excess energy over the best structure of this formula in the dataset (eV/f.u.) = 2.79
data_KMg2Re
_symmetry_space_group_name_H-M 'I -4 m 2'
_symmetry_Int_Tables_number 119
_symmetry_space_group_name_Hall 'I -4 -2'
_cell_length_a 4.233
_cell_length_b 4.233
_cell_length_c 9.339
_cell_angle_alpha 90.00
_cell_angle_beta 90.00
_cell_angle_gamma 90.00
loop_
_atom_site_label
_atom_site_fract_x
_atom_site_fract_y
_atom_site_fract_z
_atom_site_occupancy
K1 0.000 0.000 0.000 1
Mg1 0.000 0.000 0.500 1
Mg2 0.000 0.500 0.250 1
Re1 0.000 0.500 0.750 1

***

A PBEsol-optimized structure of K2MgRe2, computed with SCAN.

Structure (CIF):
```
data_K2MgRe2
_symmetry_space_group_name_H-M 'I 4/m m m'
_symmetry_Int_Tables_number 139
_symmetry_space_group_name_Hall '-I 4 2'
_cell_length_a 3.990
_cell_length_b 3.990
_cell_length_c 15.320
_cell_angle_alpha 90.00
_cell_angle_beta 90.00
_cell_angle_gamma 90.00
loop_
_atom_site_label
_atom_site_fract_x
_atom_site_fract_y
_atom_site_fract_z
_atom_site_occupancy
K1 0.000 0.500 0.250 1
Mg1 0.000 0.000 0.000 1
Re1 0.000 0.000 0.429 1
```

***

# KMgRe2, PBEsol geometry, DFT SCAN
# - excess energy over the best structure of this formula in the dataset (eV/f.u.) = 2.11
data_KMgRe2
_symmetry_space_group_name_H-M 'P m m m'
_symmetry_Int_Tables_number 47
_symmetry_space_group_name_Hall '-P 2 2'
_cell_length_a 2.806
_cell_length_b 4.754
_cell_length_c 5.329
_cell_angle_alpha 90.00
_cell_angle_beta 90.00
_cell_angle_gamma 90.00
loop_
_atom_site_label
_atom_site_fract_x
_atom_site_fract_y
_atom_site_fract_z
_atom_site_occupancy
K1 0.000 0.000 0.000 1
Mg1 0.500 0.500 0.000 1
Re1 0.000 0.500 0.500 1
Re2 0.500 0.000 0.500 1

***

no.,energy relative to the elements (kJ/mol of formula units),total moment (μB/atom)
1,33,0.000
2,-71,0.000
3,48,0.000
4,26,0.000
5,350,0.107
6,304,0.001
7,20,0.000
8,64,0.000
9,14,0.000
10,-28,0.000
11,1260,0.502
12,448,0.653
13,491,0.000
14,804,0.103
15,473,0.000